A geometry-optimized CeTlAu2 structure. Source: the Alexandria database, functional PBE.

The structure in CIF format:
```
data_CeTlAu2
_symmetry_space_group_name_H-M 'F m -3 m'
_symmetry_Int_Tables_number 225
_symmetry_space_group_name_Hall '-F 4 2 3'
_cell_length_a 7.205
_cell_length_b 7.205
_cell_length_c 7.205
_cell_angle_alpha 90.00
_cell_angle_beta 90.00
_cell_angle_gamma 90.00
loop_
_atom_site_label
_atom_site_type_symbol
_atom_site_fract_x
_atom_site_fract_y
_atom_site_fract_z
Ce1 Ce 0.000 0.000 0.000
Tl1 Tl 0.000 0.000 0.500
Au1 Au 0.250 0.250 0.250
```

Results
The energy of formation from the pure elements is -0.511 eV/atom. The mass density comes out at 13.11 g cm⁻³. Its magnetization is 3.123 μB/cell. The calculation puts the calculated volume at 23.38 Å³ per atom. Its energy above the most stable polymorph in this dataset is 0 kJ/mol of formula units.